PrTmGa | PBE-GGA | optimized geometry

Values from the calculation:
For the energy of formation, the calculation gives -11 kJ per mole of atoms. The excess energy over the best structure of this formula in the dataset comes out at 28.5 kJ per mole of atoms.

Unit cell a=4.8919 b=4.8919 c=8.7787 alpha=90.00 beta=90.00 gamma=120.00
Last column: nearest neighbours and their distance in Å.
Fractional positions:
Pr: 0.0000 0.0000 0.2201  3 Ga 3.05
Pr: 0.0000 0.0000 0.7799  3 Ga 3.05
Tm: 0.3333 0.6667 0.0000  2 Ga 3.09, 6 Pr 3.42
Tm: 0.6667 0.3333 0.5000  6 Ga 3.11
Ga: 0.3333 0.6667 0.3522  1 Ga 2.59
Ga: 0.3333 0.6667 0.6478  1 Ga 2.59

=====

Pm2ThPb2 | PBE-GGA | optimized geometry

Values from the calculation:
For the energy of formation, the calculation gives -19 kJ per mole of atoms.

Unit cell a=8.1008 b=8.1008 c=8.1008 alpha=146.91 beta=146.91 gamma=47.49
Last column: nearest neighbours and their distance in Å.
Fractional positions:
Pm: 0.2500 0.7500 0.5000  4 Pb 3.23, 4 Pm 3.26
Pm: 0.7500 0.2500 0.5000  4 Pb 3.23, 4 Pm 3.26
Th: 0.0000 0.0000 0.0000  8 Pb 3.57
Pb: 0.4020 0.4020 0.0000  1 Pb 2.91, 4 Pm 3.23
Pb: 0.5980 0.5980 0.0000  1 Pb 2.91, 4 Pm 3.23

=====

CaSi2Ni5 | PBE-GGA | optimized geometry

Values from the calculation:
The calculation puts the uncorrected formation energy at -0.487 eV per atom.

Unit cell a=5.9521 b=5.9521 c=5.9521 alpha=145.09 beta=112.84 gamma=77.98
Last column: nearest neighbours and their distance in Å.
Fractional positions:
Ca: 0.0000 0.0000 0.0000  4 Si 2.97, 10 Ni 3.05-3.29
Si: 0.2571 0.7571 0.5000  7 Ni 2.25-2.34
Si: 0.7429 0.2429 0.5000  7 Ni 2.25-2.34
Ni: 0.1610 0.3496 0.8114  3 Si 2.28-2.34, 1 Ni 2.48
Ni: 0.4618 0.6504 0.8114  3 Si 2.28-2.34, 1 Ni 2.48
Ni: 0.5000 0.0000 0.5000  2 Si 2.25
Ni: 0.5382 0.3496 0.1886  3 Si 2.28-2.34, 1 Ni 2.48
Ni: 0.8390 0.6504 0.1886  3 Si 2.28-2.34, 1 Ni 2.48

=====

E_tot values (in eV/atom) by entry order: -4.20; -5.06; -5.71.